DFT (meta-GGA SCAN) results for Mg3CuC at its PBEsol-relaxed geometry.

Calculated values
energy relative to the elements	0.21	eV/atom
energy	-7.830	eV per atom

Lattice parameters (Å, degrees): 4.303 4.303 4.303 90.00 90.00 90.00
Element x y z (fractional)
Cu (0.500, 0.500, 0.500)
Mg (0.000, 0.000, 0.500)
Mg (0.000, 0.500, 0.000)
Mg (0.500, 0.000, 0.000)
C (0.000, 0.000, 0.000)